Material: PRhAu
Method: DFT, PBE-GGA
State: optimized geometry

It has space group P3m1 (No. 156), with a = 3.9386 Å, b = 3.9386 Å, c = 3.5797 Å, α = 90.00°, β = 90.00° and γ = 120.00°. The inequivalent atoms are P at (0.0000, 0.0000, 0.0000), Rh at (0.3333, 0.6667, 0.0595) and Au at (0.6667, 0.3333, 0.5498).

Its excess energy over the best structure of this formula in the dataset is 39 kJ/mol of formula units. For the density of states at the Fermi level, the calculation gives 0.48 states/eV/atom.

---

Material: CaYCrAu2
Method: DFT, PBE-GGA
State: optimized geometry

It has space group P4/mmm (No. 123), with a = 5.1705 Å, b = 5.1705 Å, c = 5.6413 Å, α = 90.00°, β = 90.00° and γ = 90.00°. The inequivalent atoms are Ca at (0.0000, 0.0000, 0.0000), Y at (0.0000, 0.0000, 0.5000), Cr at (0.5000, 0.5000, 0.5000) and Au at (0.0000, 0.5000, 0.0000).

For the density of states at the Fermi level, the calculation gives 0.79 states/eV/atom. The electronic total energy comes out at -3.927 eV per atom.

---

Material: TmThNi
Method: DFT, PBE-GGA
State: optimized geometry

It has space group Fdd2 (No. 43), with a = 13.4462 Å, b = 23.6022 Å, c = 3.7247 Å, α = 90.00°, β = 90.00° and γ = 90.00°. The inequivalent atoms are Tm at (0.0806, 0.2948, 0.0000), Th at (0.0563, 0.4321, 0.7391) and Ni at (0.0512, 0.1565, 0.9560).

Its excess energy over the best structure of this formula in the dataset is 23 kJ/mol of formula units. For the density of states at the Fermi level, the calculation gives 1.00 states/eV/atom.

---

Material: TaBi3Cl2O6
Method: DFT, PBE-GGA
State: optimized geometry

It has space group C2/m (No. 12), with a = 11.9590 Å, b = 6.5846 Å, c = 5.6802 Å, α = 90.00°, β = 99.82° and γ = 90.00°. The inequivalent atoms are Ta at (0.0000, 0.0000, 0.0000), Bi at (0.0000, 0.5000, 0.5000), Bi at (0.2500, 0.2500, 0.0000), Cl at (0.2088, 0.5000, 0.3666), O at (0.0578, 0.2297, 0.8004) and O at (0.1583, 0.0000, 0.1803).

The uncorrected formation energy comes out at -1.40 eV/atom.